[1]
Computed, not measured: RbTi3Se6 after structural relaxation at the PBE-GGA level of DFT.

extended XYZ file:
```
20
Lattice="12.027 0.000 0.000 0.000 3.606 0.000 -4.581 0.000 11.793" Properties=species:S:1:pos:R:3 pbc="T T T"
Rb -0.096 0.901 4.552
Rb 7.542 2.704 7.240
Ti 1.540 0.901 0.326
Ti -0.158 2.704 8.856
Ti 4.668 2.704 3.305
Ti 2.778 0.901 8.488
Ti 7.604 0.901 2.937
Ti 5.907 2.704 11.467
Se 0.160 2.704 1.567
Se -1.471 0.901 7.732
Se -1.679 2.704 10.998
Se 3.009 0.901 2.639
Se 1.743 2.704 6.984
Se 1.199 0.901 10.262
Se 6.247 2.704 1.531
Se 5.703 0.901 4.809
Se 4.437 2.704 9.154
Se 9.125 0.901 0.795
Se 8.917 2.704 4.061
Se 7.286 0.901 10.226
```

Results
* calculated volume: 255.7 Å³/f.u.
* density of states at the Fermi level: 0.46 states/eV/atom
* calculated total energy: -5.68 eV/atom
* ΔE_f (raw): -1127.6 meV/atom
* SG: P2_1/m


[2]
Computed, not measured: Rb2TiSe4 after structural relaxation at the PBE-GGA level of DFT.

extended XYZ file:
```
7
Lattice="7.440 0.000 0.000 0.000 3.831 0.000 -2.655 0.000 7.758" Properties=species:S:1:pos:R:3 pbc="T T T"
Rb 0.591 0.000 2.585
Rb 4.195 0.000 5.173
Ti 3.720 1.916 0.000
Se -1.539 1.916 7.170
Se 1.042 0.000 6.018
Se 3.744 0.000 1.739
Se 6.325 1.916 0.587
```

Results
* calculated volume: 221.1 Å³/f.u.
* density of states at the Fermi level: 0.24 states/eV/atom
* calculated total energy: -4.25 eV/atom
* ΔE_f (raw): -852.2 meV/atom
* SG: P2/m


[3]
Computed, not measured: RbTiSe2 after structural relaxation at the PBE-GGA level of DFT.

extended XYZ file:
```
4
Lattice="0.000 3.606 3.606 3.606 0.000 3.606 3.606 3.606 0.000" Properties=species:S:1:pos:R:3 pbc="T T T"
Rb 0.000 0.000 0.000
Ti 3.606 3.606 3.606
Se 1.803 1.803 1.803
Se 5.408 5.408 5.408
```

Results
* calculated volume: 93.7 Å³/f.u.
* density of states at the Fermi level: 2.17 states/eV/atom
* calculated total energy: -4.33 eV/atom
* ΔE_f (raw): -369.3 meV/atom
* SG: Fm-3m


[4]
Computed, not measured: RbTiSe2 after structural relaxation at the PBE-GGA level of DFT.

extended XYZ file:
```
8
Lattice="-3.744 3.744 4.891 3.744 -3.744 4.891 3.744 3.744 -4.891" Properties=species:S:1:pos:R:3 pbc="T T T"
Rb 0.000 0.000 0.000
Rb 0.000 3.744 2.446
Ti 3.744 0.000 2.446
Ti 0.000 0.000 4.891
Se 1.872 -1.040 3.668
Se 2.704 1.872 1.223
Se 1.872 4.784 -1.223
Se 1.040 1.872 6.114
```

Results
* calculated volume: 137.1 Å³/f.u.
* density of states at the Fermi level: 0.47 states/eV/atom
* calculated total energy: -5.03 eV/atom
* ΔE_f (raw): -1074.1 meV/atom
* SG: I-42d


[5]
Computed, not measured: RbTi3Se after structural relaxation at the PBE-GGA level of DFT.

extended XYZ file:
```
5
Lattice="4.757 0.000 0.000 0.000 4.757 0.000 0.000 0.000 4.757" Properties=species:S:1:pos:R:3 pbc="T T T"
Rb 0.000 0.000 0.000
Ti 0.000 0.000 2.378
Ti 0.000 2.378 0.000
Ti 2.378 0.000 0.000
Se 2.378 2.378 2.378
```

Results
* calculated volume: 107.6 Å³/f.u.
* density of states at the Fermi level: 1.40 states/eV/atom
* calculated total energy: -3.61 eV/atom
* ΔE_f (raw): 2021.9 meV/atom
* SG: Pm-3m


[6]
Computed, not measured: RbTiSe4 after structural relaxation at the PBE-GGA level of DFT.

extended XYZ file:
```
12
Lattice="7.224 -4.362 0.000 7.224 4.362 0.000 -0.027 0.000 5.885" Properties=species:S:1:pos:R:3 pbc="T T T"
Rb 2.383 0.000 1.698
Rb 12.038 0.000 4.187
Ti 7.011 0.000 4.502
Ti 7.410 0.000 1.383
Se 5.599 1.586 0.537
Se 7.211 2.043 2.943
Se 4.450 0.000 4.744
Se 8.823 1.586 5.349
Se 5.599 -1.586 0.537
Se 9.971 0.000 1.142
Se 7.211 -2.043 2.943
Se 8.823 -1.586 5.349
```

Results
* calculated volume: 185.4 Å³/f.u.
* density of states at the Fermi level: 0.19 states/eV/atom
* calculated total energy: -4.60 eV/atom
* ΔE_f (raw): -802.9 meV/atom
* SG: C2/m


[7]
Computed, not measured: RbTi5Se8 after structural relaxation at the PBE-GGA level of DFT.

extended XYZ file:
```
14
Lattice="9.479 -1.807 0.000 9.479 1.807 0.000 -2.357 0.000 8.979" Properties=species:S:1:pos:R:3 pbc="T T T"
Rb 0.000 0.000 0.000
Ti 1.795 0.000 4.513
Ti 1.951 0.000 7.607
Ti 8.300 0.000 4.490
Ti 14.649 0.000 1.372
Ti 14.805 0.000 4.466
Se -0.190 0.000 6.057
Se 4.062 0.000 2.992
Se 6.403 0.000 0.028
Se 6.217 0.000 6.049
Se 10.383 0.000 2.930
Se 10.197 0.000 8.951
Se 12.538 0.000 5.987
Se 16.790 0.000 2.923
```

Results
* calculated volume: 307.5 Å³/f.u.
* density of states at the Fermi level: 0.79 states/eV/atom
* calculated total energy: -6.10 eV/atom
* ΔE_f (raw): -1215.2 meV/atom
* SG: C2/m


[8]
Computed, not measured: RbTiSe3 after structural relaxation at the PBE-GGA level of DFT.

extended XYZ file:
```
10
Lattice="5.116 0.000 0.000 0.000 4.955 0.000 -2.530 0.000 11.374" Properties=species:S:1:pos:R:3 pbc="T T T"
Rb 0.000 1.239 3.876
Rb 2.587 3.716 7.498
Ti 0.029 1.239 9.813
Ti 2.558 3.716 1.561
Se 0.000 3.716 0.671
Se 0.028 1.239 7.457
Se 0.028 3.716 10.124
Se 2.558 1.239 1.250
Se 2.559 3.716 3.917
Se 2.586 1.239 10.703
```

Results
* calculated volume: 144.2 Å³/f.u.
* density of states at the Fermi level: 0.29 states/eV/atom
* calculated total energy: -4.82 eV/atom
* ΔE_f (raw): -957.8 meV/atom
* SG: P2_1/m